No. 1
! Ce2NdIn2Hg2 (PBE, optimized geometry); values from VASP
&SYSTEM
  ibrav = 0, nat = 7, ntyp = 4
/
ATOMIC_SPECIES
In 114.82 In.upf
Hg 200.59 Hg.upf
Nd 144.24 Nd.upf
Ce 140.12 Ce.upf
CELL_PARAMETERS angstrom
4.8286 0.0000 0.0000
2.4143 4.1817 0.0000
2.4143 1.3939 9.3132
ATOMIC_POSITIONS crystal
In 0.7306 0.7306 0.8081
In 0.2694 0.2694 0.1919
Hg 0.5763 0.5763 0.2710
Hg 0.4237 0.4237 0.7290
Nd 0.0000 0.0000 0.0000
Ce 0.8563 0.8563 0.4311
Ce 0.1437 0.1437 0.5689
! N(E_F)   1.906 states/eV per atom
! Crystal system   trigonal
! Formation energy   -0.264 eV per atom
! Space-group type   No. 166
! Magnetization   0.311 μB per atom


No. 2
! CeNdInHg (PBE, optimized geometry); values from VASP
&SYSTEM
  ibrav = 0, nat = 4, ntyp = 4
/
ATOMIC_SPECIES
In 114.82 In.upf
Ce 140.12 Ce.upf
Hg 200.59 Hg.upf
Nd 144.24 Nd.upf
CELL_PARAMETERS angstrom
5.4664 0.0000 0.0000
2.7332 4.7340 0.0000
2.7332 1.5780 4.4633
ATOMIC_POSITIONS crystal
In 0.2500 0.2500 0.2500
Ce 0.5000 0.5000 0.5000
Hg 0.7500 0.7500 0.7500
Nd 0.0000 0.0000 0.0000
! N(E_F)   2.544 states/eV per atom
! Crystal system   cubic
! Formation energy   -0.376 eV per atom
! Space-group type   No. 216
! Magnetization   0.462 μB per atom